# 1
# Li4NbO4

A relaxed structure of Li4NbO4 (GGA-PBEsol, Alexandria via LeMat-Bulk).

Cell: 5.6530 5.6530 5.6530 Å, 94.77 94.77 146.48°
Last column: nearest neighbours and their distance in Å.
Atoms (fractional coordinates):
1 Li 0.1564 0.6662 0.8226  4 O 1.92-2.05
2 Li 0.3338 0.1564 0.4902  4 O 1.92-2.05
3 Li 0.6662 0.8436 0.5098  4 O 1.92-2.05
4 Li 0.8436 0.3338 0.1774  4 O 1.92-2.05
5 Nb 0.0000 0.0000 0.0000  4 O 1.96
6 O 0.0806 0.2424 0.3230  4 Li 1.92-2.05, 1 Nb 1.96
7 O 0.2424 0.9194 0.1619  4 Li 1.92-2.05, 1 Nb 1.96
8 O 0.7576 0.0806 0.8381  4 Li 1.92-2.05, 1 Nb 1.96
9 O 0.9194 0.7576 0.6770  4 Li 1.92-2.05, 1 Nb 1.96

Summary:
- total magnetic moment (μB/f.u.) = 0.00
- space group = I4/m (87)
- E_form (uncorrected) (meV/atom) = -2105.5

---

# 2
# LiNiBP2H6O11

A relaxed structure of LiNiBP2H6O11 (GGA-PBEsol, Alexandria via LeMat-Bulk).

Cell: 9.2857 9.2857 15.6634 Å, 90.00 90.00 120.00°
Last column: nearest neighbours and their distance in Å.
Atoms (fractional coordinates):
1 Li 0.2289 0.4579 0.2500  3 O 1.93-2.09
2 Li 0.2289 0.7711 0.9167  3 O 1.93-2.09
3 Li 0.4579 0.2289 0.0833  3 O 1.93-2.09
4 Li 0.5421 0.7711 0.5833  3 O 1.93-2.09
5 Li 0.7711 0.2289 0.4167  3 O 1.93-2.09
6 Li 0.7711 0.5421 0.7500  3 O 1.93-2.09
7 Ni 0.1152 0.5576 0.0833  6 O 2.05-2.07
8 Ni 0.4424 0.5576 0.4167  6 O 2.05-2.07
9 Ni 0.4424 0.8848 0.7500  6 O 2.05-2.07
10 Ni 0.5576 0.1152 0.2500  6 O 2.05-2.07
11 Ni 0.5576 0.4424 0.9167  6 O 2.05-2.07
12 Ni 0.8848 0.4424 0.5833  6 O 2.05-2.07
13 B 0.1505 0.3010 0.7500  4 O 1.46-1.48
14 B 0.1505 0.8495 0.4167  4 O 1.46-1.48
15 B 0.3010 0.1505 0.5833  4 O 1.46-1.48
16 B 0.6990 0.8495 0.0833  4 O 1.46-1.48
17 B 0.8495 0.1505 0.9167  4 O 1.46-1.48
18 B 0.8495 0.6990 0.2500  4 O 1.46-1.48
19 P 0.1738 0.3923 0.9205  4 O 1.52-1.58
20 P 0.1738 0.7815 0.2462  4 O 1.52-1.58
21 P 0.2185 0.3923 0.5795  4 O 1.52-1.58
22 P 0.2185 0.8262 0.5872  4 O 1.52-1.58
23 P 0.3923 0.1738 0.4128  4 O 1.52-1.58
24 P 0.3923 0.2185 0.7538  4 O 1.52-1.58
25 P 0.6077 0.7815 0.2538  4 O 1.52-1.58
26 P 0.6077 0.8262 0.9128  4 O 1.52-1.58
27 P 0.7815 0.1738 0.0872  4 O 1.52-1.58
28 P 0.7815 0.6077 0.0795  4 O 1.52-1.58
29 P 0.8262 0.2185 0.7462  4 O 1.52-1.58
30 P 0.8262 0.6077 0.4205  4 O 1.52-1.58
31 H 0.0277 0.1460 0.2073  1 O 0.98
32 H 0.0277 0.8818 0.9594  1 O 0.98
33 H 0.1182 0.1460 0.2927  1 O 0.98
34 H 0.1182 0.9723 0.8739  1 O 0.98
35 H 0.1270 0.4410 0.4355  1 O 1.00
36 H 0.1270 0.6860 0.7312  1 O 1.00
37 H 0.1460 0.0277 0.1261  1 O 0.98
38 H 0.1460 0.1182 0.0406  1 O 0.98
39 H 0.1941 0.5962 0.7917  1 O 1.00
40 H 0.1941 0.5978 0.3749  1 O 1.00
41 H 0.3140 0.4410 0.0645  1 O 1.00
42 H 0.3140 0.8730 0.1021  1 O 1.00
43 H 0.4022 0.5962 0.7083  1 O 1.00
44 H 0.4022 0.8059 0.4584  1 O 1.00
45 H 0.4038 0.5978 0.1251  1 O 1.00
46 H 0.4038 0.8059 0.0416  1 O 1.00
47 H 0.4410 0.1270 0.8979  1 O 1.00
48 H 0.4410 0.3140 0.2688  1 O 1.00
49 H 0.5590 0.6860 0.7688  1 O 1.00
50 H 0.5590 0.8730 0.3979  1 O 1.00
51 H 0.5962 0.1941 0.5416  1 O 1.00
52 H 0.5962 0.4022 0.6251  1 O 1.00
53 H 0.5978 0.1941 0.9584  1 O 1.00
54 H 0.5978 0.4038 0.2083  1 O 1.00
55 H 0.6860 0.1270 0.6021  1 O 1.00
56 H 0.6860 0.5590 0.5645  1 O 1.00
57 H 0.8059 0.4022 0.8749  1 O 1.00
58 H 0.8059 0.4038 0.2917  1 O 1.00
59 H 0.8540 0.8818 0.5406  1 O 0.98
60 H 0.8540 0.9723 0.6261  1 O 0.98
61 H 0.8730 0.3140 0.2312  1 O 1.00
62 H 0.8730 0.5590 0.9355  1 O 1.00
63 H 0.8818 0.0277 0.3739  1 O 0.98
64 H 0.8818 0.8540 0.7927  1 O 0.98
65 H 0.9723 0.1182 0.4594  1 O 0.98
66 H 0.9723 0.8540 0.7073  1 O 0.98
67 O 0.0239 0.2129 0.9376  1 B 1.46, 1 P 1.57
68 O 0.0239 0.8110 0.2291  1 B 1.46, 1 P 1.57
69 O 0.0662 0.3918 0.5444  1 P 1.52
70 O 0.0662 0.6745 0.6223  1 P 1.52
71 O 0.1087 0.2174 0.2500  2 H 0.98
72 O 0.1087 0.8913 0.9167  2 H 0.98
73 O 0.1407 0.5257 0.9559  1 P 1.52
74 O 0.1407 0.6149 0.2108  1 P 1.52
75 O 0.1804 0.4180 0.8206  1 B 1.48, 1 P 1.58
76 O 0.1804 0.7624 0.3461  1 B 1.48, 1 P 1.58
77 O 0.1890 0.2129 0.5624  1 B 1.46, 1 P 1.57
78 O 0.1890 0.9761 0.6043  1 B 1.46, 1 P 1.57
79 O 0.2017 0.4954 0.3854  2 H 1.00
80 O 0.2017 0.7063 0.7813  2 H 1.00
81 O 0.2129 0.0239 0.3957  1 B 1.46, 1 P 1.57
82 O 0.2129 0.1890 0.7709  1 B 1.46, 1 P 1.57
83 O 0.2174 0.1087 0.0833  2 H 0.98
84 O 0.2376 0.4180 0.6794  1 B 1.48, 1 P 1.58
85 O 0.2376 0.8196 0.4872  1 B 1.48, 1 P 1.58
86 O 0.2937 0.4954 0.1146  2 H 1.00
87 O 0.2937 0.7983 0.0520  2 H 1.00
88 O 0.3255 0.3918 0.9556  1 P 1.52
89 O 0.3255 0.9338 0.2110  1 P 1.52
90 O 0.3851 0.5257 0.5441  1 P 1.52
91 O 0.3851 0.8593 0.6226  1 P 1.52
92 O 0.3918 0.0662 0.7890  1 P 1.52
93 O 0.3918 0.3255 0.3777  1 P 1.52
94 O 0.4180 0.1804 0.5128  1 B 1.48, 1 P 1.58
95 O 0.4180 0.2376 0.6539  1 B 1.48, 1 P 1.58
96 O 0.4743 0.6149 0.2892  1 P 1.52
97 O 0.4743 0.8593 0.8774  1 P 1.52
98 O 0.4954 0.2017 0.9480  2 H 1.00
99 O 0.4954 0.2937 0.2187  2 H 1.00
100 O 0.5046 0.7063 0.7187  2 H 1.00
101 O 0.5046 0.7983 0.4480  2 H 1.00
102 O 0.5257 0.1407 0.3774  1 P 1.52
103 O 0.5257 0.3851 0.7892  1 P 1.52
104 O 0.5820 0.7624 0.1539  1 B 1.48, 1 P 1.58
105 O 0.5820 0.8196 0.0128  1 B 1.48, 1 P 1.58
106 O 0.6082 0.6745 0.8777  1 P 1.52
107 O 0.6082 0.9338 0.2890  1 P 1.52
108 O 0.6149 0.1407 0.1226  1 P 1.52
109 O 0.6149 0.4743 0.0441  1 P 1.52
110 O 0.6745 0.0662 0.7110  1 P 1.52
111 O 0.6745 0.6082 0.4556  1 P 1.52
112 O 0.7063 0.2017 0.5520  2 H 1.00
113 O 0.7063 0.5046 0.6146  2 H 1.00
114 O 0.7624 0.1804 0.9872  1 B 1.48, 1 P 1.58
115 O 0.7624 0.5820 0.1794  1 B 1.48, 1 P 1.58
116 O 0.7826 0.8913 0.5833  2 H 0.98
117 O 0.7871 0.8110 0.2709  1 B 1.46, 1 P 1.57
118 O 0.7871 0.9761 0.8957  1 B 1.46, 1 P 1.57
119 O 0.7983 0.2937 0.2813  2 H 1.00
120 O 0.7983 0.5046 0.8854  2 H 1.00
121 O 0.8110 0.0239 0.1043  1 B 1.46, 1 P 1.57
122 O 0.8110 0.7871 0.0624  1 B 1.46, 1 P 1.57
123 O 0.8196 0.2376 0.8461  1 B 1.48, 1 P 1.58
124 O 0.8196 0.5820 0.3206  1 B 1.48, 1 P 1.58
125 O 0.8593 0.3851 0.7108  1 P 1.52
126 O 0.8593 0.4743 0.4559  1 P 1.52
127 O 0.8913 0.1087 0.4167  2 H 0.98
128 O 0.8913 0.7826 0.7500  2 H 0.98
129 O 0.9338 0.3255 0.1223  1 P 1.52
130 O 0.9338 0.6082 0.0444  1 P 1.52
131 O 0.9761 0.1890 0.7291  1 B 1.46, 1 P 1.57
132 O 0.9761 0.7871 0.4376  1 B 1.46, 1 P 1.57

Summary:
- total magnetic moment (μB/f.u.) = 2.00
- E_tot (eV/atom) = -6.396
- space group = P6_122 (178)

---

# 3
# TcSbAs2

A relaxed structure of TcSbAs2 (GGA-PBEsol, Alexandria via LeMat-Bulk).

Cell: 3.0369 3.0369 8.2031 Å, 90.00 90.00 90.00°
Last column: nearest neighbours and their distance in Å.
Atoms (fractional coordinates):
1 Tc 0.0000 0.0000 0.0000  8 As 2.61
2 Sb 0.0000 0.0000 0.5000  4 Sb 3.04, 8 As 3.39
3 As 0.5000 0.5000 0.1798  4 Tc 2.61
4 As 0.5000 0.5000 0.8202  4 Tc 2.61

Summary:
- total magnetic moment (μB/f.u.) = 0.00
- space group = P4/mmm (123)
- E_form (uncorrected) (meV/atom) = -29.5

---

# 4
# TaAg3Te

A relaxed structure of TaAg3Te (GGA-PBEsol, Alexandria via LeMat-Bulk).

Cell: 5.0559 5.0559 5.0559 Å, 90.00 90.00 90.00°
Last column: nearest neighbours and their distance in Å.
Atoms (fractional coordinates):
1 Ta 0.0000 0.0000 0.0000  6 Ag 2.53
2 Ag 0.0000 0.0000 0.5000  2 Ta 2.53
3 Ag 0.0000 0.5000 0.0000  2 Ta 2.53
4 Ag 0.5000 0.0000 0.0000  2 Ta 2.53
5 Te 0.5000 0.5000 0.5000  12 Ag 3.58

Summary:
- total magnetic moment (μB/f.u.) = 0.00
- space group = Pm-3m (221)
- E_form (uncorrected) (meV/atom) = 1494.5

---

# 5
# ScOsCl2

A relaxed structure of ScOsCl2 (GGA-PBEsol, Alexandria via LeMat-Bulk).

Cell: 2.9985 2.9985 8.1383 Å, 90.00 90.00 90.00°
Last column: nearest neighbours and their distance in Å.
Atoms (fractional coordinates):
1 Sc 0.0000 0.0000 0.0000  4 Cl 2.67, 4 Os 2.84
2 Os 0.5000 0.5000 0.7686  4 Cl 2.64, 4 Sc 2.84
3 Cl 0.0000 0.0000 0.5746  4 Os 2.64
4 Cl 0.5000 0.5000 0.2003  4 Sc 2.67

Summary:
- total magnetic moment (μB/f.u.) = 0.00
- space group = P4mm (99)
- E_form (uncorrected) (meV/atom) = -422.7

---

# 6
# Li2ReTe

A relaxed structure of Li2ReTe (GGA-PBEsol, Alexandria via LeMat-Bulk).

Cell: 5.3704 5.3704 5.3704 Å, 145.72 131.89 60.40°
Last column: nearest neighbours and their distance in Å.
Atoms (fractional coordinates):
1 Li 0.2495 0.2495 0.0000  4 Li 2.70, 2 Te 2.81, 2 Re 2.81
2 Li 0.7505 0.7505 0.0000  4 Li 2.70, 2 Te 2.81, 2 Re 2.81
3 Re 0.5000 0.0000 0.5000  4 Te 2.70, 4 Li 2.81
4 Te 0.0000 0.5000 0.5000  4 Re 2.70, 4 Li 2.81

Summary:
- total magnetic moment (μB/f.u.) = 0.00
- space group = Immm (71)
- E_form (uncorrected) (meV/atom) = 288.6

---

# 7
# NaSe2F

A relaxed structure of NaSe2F (GGA-PBEsol, Alexandria via LeMat-Bulk).

Cell: 9.3708 9.3708 9.3708 Å, 18.55 18.55 18.55°
Last column: nearest neighbours and their distance in Å.
Atoms (fractional coordinates):
1 Na 0.0000 0.0000 0.0000  6 Se 3.00, 6 Na 3.02
2 Se 0.4219 0.4219 0.4219  1 F 2.16
3 Se 0.5781 0.5781 0.5781  1 F 2.16
4 F 0.5000 0.5000 0.5000  2 Se 2.16

Summary:
- total magnetic moment (μB/f.u.) = 0.00
- space group = R-3m (166)
- E_form (uncorrected) (meV/atom) = -272.4

---

# 8
# YHfTl2

A relaxed structure of YHfTl2 (GGA-PBEsol, Alexandria via LeMat-Bulk).

Cell: 5.1121 5.1121 5.1121 Å, 60.00 60.00 60.00°
Last column: nearest neighbours and their distance in Å.
Atoms (fractional coordinates):
1 Y 0.0000 0.0000 0.0000  8 Tl 3.13
2 Hf 0.5000 0.5000 0.5000  8 Tl 3.13
3 Tl 0.2500 0.2500 0.2500  4 Hf 3.13, 4 Y 3.13
4 Tl 0.7500 0.7500 0.7500  4 Hf 3.13, 4 Y 3.13

Summary:
- total magnetic moment (μB/f.u.) = 0.00
- space group = Fm-3m (225)
- DFT formation energy (eV per atom) = -0.100

---

# 9
# SiGePd2Pb

A relaxed structure of SiGePd2Pb (GGA-PBEsol, Alexandria via LeMat-Bulk).

Cell: 4.6122 4.6122 4.7468 Å, 90.00 90.00 90.00°
Last column: nearest neighbours and their distance in Å.
Atoms (fractional coordinates):
1 Si 0.0000 0.0000 0.0000  4 Pd 2.31, 2 Ge 2.37
2 Ge 0.0000 0.0000 0.5000  2 Si 2.37
3 Pd 0.0000 0.5000 0.0000  2 Si 2.31
4 Pd 0.5000 0.0000 0.0000  2 Si 2.31
5 Pb 0.5000 0.5000 0.5000  4 Ge 3.26, 8 Pd 3.31

Summary:
- total magnetic moment (μB/f.u.) = 0.00
- space group = P4/mmm (123)
- E_form (uncorrected) (meV/atom) = 101.3

---

# 10
# CaLa3Cu

A relaxed structure of CaLa3Cu (GGA-PBEsol, Alexandria via LeMat-Bulk).

Cell: 5.6320 5.6320 5.6320 Å, 90.00 90.00 90.00°
Last column: nearest neighbours and their distance in Å.
Atoms (fractional coordinates):
1 Ca 0.0000 0.0000 0.0000  6 La 2.82
2 La 0.0000 0.0000 0.5000  2 Ca 2.82
3 La 0.0000 0.5000 0.0000  2 Ca 2.82
4 La 0.5000 0.0000 0.0000  2 Ca 2.82
5 Cu 0.5000 0.5000 0.5000  12 La 3.98

Summary:
- total magnetic moment (μB/f.u.) = 0.00
- space group = Pm-3m (221)
- DFT formation energy (eV per atom) = 1.146